(1)
The following is a GGA-PBE calculation of La5Pm6Ho after structural relaxation, from Alexandria via LeMat-Bulk.

Calculated values
energy relative to the elements: 0.02 eV/atom
density of states at the Fermi level: 19.45 states/eV/f.u.

Cell lengths 6.3755, 6.3769, 12.1798 Å; angles 84.97, 79.90, 60.01 degrees
Atoms (fractional coordinates):
Pm  0.5859  0.3317  0.2486
Pm  0.0824  0.3317  0.7514
Pm  0.7505  0.0000  0.7516
Pm  0.2495  0.0000  0.2484
Pm  0.9176  0.6683  0.2486
Pm  0.4141  0.6683  0.7514
Ho  0.0000  0.0000  0.0000
La  0.1663  0.6674  0.5000
La  0.3331  0.3337  0.0000
La  0.5000  0.0000  0.5000
La  0.6669  0.6663  0.0000
La  0.8337  0.3326  0.5000

=====

(2)
The following is a GGA-PBE calculation of TaS2NO after structural relaxation, from Alexandria via LeMat-Bulk.

Calculated values
energy relative to the elements, uncorrected: 1.07 eV per atom
density of states at the Fermi level: 2.73 states/eV/f.u.

Cell lengths 3.9945, 3.9945, 3.8460 Å; angles 90.00, 90.00, 90.00 degrees
Each line ends with the local moment (μB).
Atoms (fractional coordinates):
S  0.0000  0.5000  0.0000  0.01
S  0.5000  0.0000  0.0000  0.01
N  0.0000  0.0000  0.5000  0.04
O  0.0000  0.0000  0.0000  -0.01
Ta  0.5000  0.5000  0.5000  -0.30

=====

Among the records above, which one has the highest density of states at the Fermi level?
La5Pm6Ho

=====

Among the records above, which one has the highest density of states at the Fermi level?
La5Pm6Ho

=====

What is the density of states at the Fermi level in the second record?
2.73 states/eV/f.u.